The following is a PBE calculation of crystalline TmMn4Tc at its relaxed geometry, from Alexandria.

Summary:
Mass density ... 9.836 g/cm³
Spin magnetization ... 3.72 Bohr magnetons per cell
Symmetry ... F-43m (216)
Final energy ... -50.89 eV/cell
Calculated volume ... 82.17 Å³/cell
Energy relative to the elements ... 10.0 kJ/mol of atoms

Geometry as POSCAR:
```
TmMn4Tc
1.0
4.880 0.000 0.000
2.440 4.226 0.000
2.440 1.409 3.984
Tm Tc Mn
1 1 4
Direct
0.000 0.000 0.000 Tm
0.250 0.250 0.250 Tc
0.625 0.625 0.126 Mn
0.625 0.126 0.625 Mn
0.625 0.625 0.625 Mn
0.126 0.625 0.625 Mn
```

The following is a PBE calculation of crystalline NaZrSiN3 at its relaxed geometry, from Alexandria.

Summary:
Uncorrected formation energy ... -89.9 kJ per mole of atoms
Mass density ... 3.296 g/cm³
Spin magnetization ... 0.00 Bohr magnetons per cell
Symmetry ... P2_1/m (11)
Final energy ... -91.72 eV/cell
Calculated volume ... 185.70 Å³/cell

Geometry as POSCAR:
```
NaZrSiN3
1.0
-0.443 0.069 3.139
0.018 -6.650 0.150
8.717 0.760 1.214
Na Zr Si N
2 2 2 6
Direct
0.250 0.142 0.200 Na
0.750 0.858 0.800 Na
0.250 0.619 0.130 Zr
0.750 0.381 0.870 Zr
0.250 0.116 0.581 Si
0.750 0.884 0.419 Si
0.750 0.821 0.230 N
0.250 0.179 0.770 N
0.250 0.850 0.512 N
0.750 0.150 0.488 N
0.750 0.390 0.102 N
0.250 0.610 0.898 N
```

The following is a PBE calculation of crystalline InGaW3 at its relaxed geometry, from Alexandria.

Summary:
Mass density ... 10.543 g/cm³
Spin magnetization ... 0.00 Bohr magnetons per cell
Symmetry ... Pm-3m (221)
Final energy ... -30.14 eV/cell
Calculated volume ... 115.93 Å³/cell
Offset from the most stable computed form ... 1.171 eV/atom
Energy relative to the elements ... 279.5 kJ/mol of atoms

Geometry as POSCAR:
```
InGaW3
1.0
4.876 0.000 0.000
0.000 4.876 0.000
0.000 0.000 4.876
Ga W In
1 3 1
Direct
0.500 0.500 0.500 Ga
0.000 0.500 0.000 W
0.000 0.000 0.500 W
0.500 0.000 0.000 W
0.000 0.000 0.000 In
```